Computed, not measured: an optimized crystal structure of TbSm3Y2Ho6 at the PBE-GGA level of DFT.

Output
Density of states at the Fermi level, states/eV per cell: 16.08
Energy of formation from the pure elements, eV/atom: 0.018
Raw total energy, eV/cell: -58.96
Crystal system: monoclinic

Cell: 6.1695 6.1695 11.7865 Å, 94.99 94.99 119.96°
Last column: nearest neighbours and their distance in Å.
Element x y z (fractional)
Tb  0.0000  0.0000  0.0000  6 Ho 3.54, 6 Y 3.56
Sm  0.1667  0.8333  0.5000  6 Sm 3.56, 6 Ho 3.57
Sm  0.8333  0.1667  0.5000  6 Sm 3.56, 6 Ho 3.57
Sm  0.5000  0.5000  0.5000  6 Sm 3.56, 6 Ho 3.57
Y  0.3333  0.6667  0.0000  6 Ho 3.54, 3 Tb 3.56, 3 Y 3.56
Y  0.6667  0.3333  0.0000  6 Ho 3.54, 3 Tb 3.56, 3 Y 3.56
Ho  0.9169  0.5842  0.7515  1 Tb 3.54, 2 Y 3.54, 6 Ho 3.55-3.57, 3 Sm 3.57
Ho  0.7503  0.7503  0.2485  1 Tb 3.54, 2 Y 3.54, 6 Ho 3.56-3.57, 3 Sm 3.57
Ho  0.0831  0.4158  0.2485  1 Tb 3.54, 2 Y 3.54, 6 Ho 3.55-3.57, 3 Sm 3.57
Ho  0.5842  0.9169  0.7515  1 Tb 3.54, 2 Y 3.54, 6 Ho 3.55-3.57, 3 Sm 3.57
Ho  0.2497  0.2497  0.7515  1 Tb 3.54, 2 Y 3.54, 6 Ho 3.56-3.57, 3 Sm 3.57
Ho  0.4158  0.0831  0.2485  1 Tb 3.54, 2 Y 3.54, 6 Ho 3.55-3.57, 3 Sm 3.57